[1]
An optimized crystal structure of Al3Re. Source: Alexandria via LeMat-Bulk, functional GGA-PBE.

```
4
Lattice="4.820 0.000 0.000 0.000 4.820 0.000 0.000 0.000 4.820" Properties=species:S:1:pos:R:3 pbc="T T T"
Al 2.410 0.000 0.000
Re 0.000 0.000 0.000
Al 0.000 0.000 2.410
Al 0.000 2.410 0.000
```

Computed properties:
Its space group is Pm-3m, No. 221. The calculation puts the formation energy at 1.886 eV per formula unit. The final energy is -5.448 eV per atom.

***

[2]
An optimized crystal structure of Zr2PdPb2. Source: Alexandria via LeMat-Bulk, functional GGA-PBE.

```
10
Lattice="-7.104 -0.414 -1.137 -1.068 -1.032 7.052 -0.349 4.374 0.587" Properties=species:S:1:pos:R:3 pbc="T T T"
Zr -2.039 1.436 4.783
Zr -2.743 1.879 1.059
Pd -4.086 -0.723 2.958
Pd 0.000 0.000 0.000
Zr -6.482 1.492 1.719
Pb -3.426 -1.027 5.619
Zr -5.778 1.049 5.443
Pb -1.416 -0.426 2.329
Pb -4.746 -0.418 0.296
Pb -6.756 -1.020 3.586
```

Computed properties:
The distance to the lowest polymorph of the same formula is 0.000 eV/f.u. Its space group is P4/mbm, No. 127. The calculation puts the formation energy at -0.487 eV per formula unit. The final energy is -6.038 eV per atom.

***

[3]
An optimized crystal structure of BOsPb3. Source: Alexandria via LeMat-Bulk, functional GGA-PBE.

```
5
Lattice="4.878 0.000 0.000 0.000 4.878 0.000 0.000 0.000 4.878" Properties=species:S:1:pos:R:3 pbc="T T T"
B 0.000 0.000 0.000
Pb 0.000 0.000 2.439
Os 2.439 2.439 2.439
Pb 0.000 2.439 0.000
Pb 2.439 0.000 0.000
```

Computed properties:
The distance to the lowest polymorph of the same formula is 0.582 eV/f.u. Its space group is Pm-3m, No. 221. The calculation puts the formation energy at 7.395 eV per formula unit. The final energy is -4.327 eV per atom.

***

[4]
An optimized crystal structure of PmGa3Co. Source: Alexandria via LeMat-Bulk, functional GGA-PBE.

```
5
Lattice="4.565 0.000 0.000 0.000 4.565 0.000 0.000 0.000 4.565" Properties=species:S:1:pos:R:3 pbc="T T T"
Co 0.000 0.000 0.000
Ga 0.000 2.282 0.000
Ga 0.000 0.000 2.282
Pm 2.282 2.282 2.282
Ga 2.282 0.000 0.000
```

Computed properties:
The distance to the lowest polymorph of the same formula is 0.000 eV/f.u. Its space group is Pm-3m, No. 221. The calculation puts the formation energy at -2.044 eV per formula unit. The final energy is -4.596 eV per atom.

***

[5]
An optimized crystal structure of Sr2Ac3Ge2. Source: Alexandria via LeMat-Bulk, functional GGA-PBE.

```
7
Lattice="4.504 0.000 0.000 -2.252 6.866 -0.185 0.000 -3.382 8.751" Properties=species:S:1:pos:R:3 pbc="T T T"
Ac 2.252 0.000 0.000
Ac 0.000 3.187 4.820
Sr 0.000 -0.475 7.031
Ge 2.252 1.894 6.775
Ac 2.252 0.297 3.746
Sr 2.252 3.959 1.535
Ge 0.000 1.590 1.791
```

Computed properties:
Its space group is C2/m, No. 12. The calculation puts the formation energy at -2.678 eV per formula unit. The final energy is -3.943 eV per atom.

***

[6]
An optimized crystal structure of CeNd2Tm6. Source: Alexandria via LeMat-Bulk, functional GGA-PBE.

```
9
Lattice="-3.251 1.152 0.574 -3.557 -8.174 -3.749 1.871 0.563 9.471" Properties=species:S:1:pos:R:3 pbc="T T T"
Ce -1.626 0.576 0.287
Tm -0.174 0.283 3.349
Tm -0.080 -1.853 8.172
Tm -4.858 -4.606 -1.876
Tm -4.763 -6.742 2.947
Nd -2.606 -4.958 0.809
Tm -3.131 -1.777 2.228
Tm -1.807 -4.682 4.068
Nd -2.332 -1.502 5.487
```

Computed properties:
The distance to the lowest polymorph of the same formula is 0.000 eV/f.u. Its space group is P-3, No. 147. The calculation puts the formation energy at 0.908 eV per formula unit. The final energy is -4.599 eV per atom.